Model 1:
First-principles (PBE) data for an optimized crystal structure of Nb3SiRh, as listed in Alexandria via LeMat-Bulk. Values from VASP.

Computed properties:
The value obtained for the total magnetic moment is 0.000 μB per cell.

```
&SYSTEM
  ibrav = 0, nat = 5, ntyp = 3
/
ATOMIC_SPECIES
Nb 92.91 Nb.upf
Si 28.09 Si.upf
Rh 102.91 Rh.upf
CELL_PARAMETERS angstrom
4.606 0.000 0.000
0.000 4.606 0.000
0.000 0.000 4.606
ATOMIC_POSITIONS crystal
Nb 0.000 0.000 0.500
Nb 0.000 0.500 0.000
Nb 0.500 0.000 0.000
Si 0.000 0.000 0.000
Rh 0.500 0.500 0.500
```

---

Model 2:
First-principles (PBE) data for an optimized crystal structure of Nb3SiRh, as listed in Alexandria via LeMat-Bulk. Values from VASP.

Computed properties:
The value obtained for the total magnetic moment is 0.000 μB per cell.

```
&SYSTEM
  ibrav = 0, nat = 5, ntyp = 3
/
ATOMIC_SPECIES
Nb 92.91 Nb.upf
Si 28.09 Si.upf
Rh 102.91 Rh.upf
CELL_PARAMETERS angstrom
4.787 0.000 0.000
0.000 4.787 0.000
0.000 0.000 4.787
ATOMIC_POSITIONS crystal
Nb 0.000 0.000 0.500
Nb 0.000 0.500 0.000
Nb 0.500 0.000 0.000
Si 0.500 0.500 0.500
Rh 0.000 0.000 0.000
```

---

Question: of the structures shown, which is the least stable? Reply: model 2.